Crystalline Ca6Bi2AsO at its relaxed geometry, computed with PBE-GGA.

Cell and atoms, written as CIF:
```
data_Ca6Bi2AsO
_chemical_formula_sum 'Ca6 Bi2 As1 O1'
_cell_length_a 5.3517
_cell_length_b 5.3517
_cell_length_c 10.2043
_cell_angle_alpha 90.00
_cell_angle_beta 90.00
_cell_angle_gamma 90.00
_symmetry_space_group_name_H-M 'P 1'
_symmetry_Int_Tables_number 1
_symmetry_space_group_name_Hall 'P 1'
loop_
_atom_site_label
_atom_site_type_symbol
_atom_site_fract_x
_atom_site_fract_y
_atom_site_fract_z
Ca1 Ca 0.5000 0.0000 0.0000
Ca2 Ca 0.5000 0.0000 0.5000
Ca3 Ca 0.0000 0.5000 0.0000
Ca4 Ca 0.0000 0.5000 0.5000
Ca5 Ca 0.5000 0.5000 0.7234
Ca6 Ca 0.5000 0.5000 0.2766
Bi1 Bi 0.0000 0.0000 0.7311
Bi2 Bi 0.0000 0.0000 0.2689
As1 As 0.5000 0.5000 0.0000
O1 O 0.5000 0.5000 0.5000
```

Properties
E: -4.1263 eV/atom
Magnetic moment: 0.00 μB per atom
Energy relative to the elements, uncorrected: -27.41 kcal/mol of atoms